#one
The following is a DFT calculation (PBE-GGA) of a relaxed structure of CeZrAl.

abc: 3.7325 3.7325 9.6240
angles: 91.41 91.41 89.25
Fractional positions:
Ce 0.2144 0.2144 0.0811
Ce 0.7856 0.7856 0.9189
Zr 0.2447 0.2447 0.4118
Zr 0.7553 0.7553 0.5882
Al 0.2665 0.2665 0.7273
Al 0.7335 0.7335 0.2727

Output
Symmetry: C2/m (12)

---

#two
The following is a DFT calculation (PBE-GGA) of a relaxed structure of CeZrAl.

abc: 4.9639 4.9639 3.0554
angles: 90.00 90.00 120.00
Fractional positions:
Ce 0.0000 0.0000 0.0000
Zr 0.3333 0.6667 0.9983
Al 0.6667 0.3333 0.4999

Output
Symmetry: P3m1 (156)

---

#three
The following is a DFT calculation (PBE-GGA) of a relaxed structure of CeZrAl.

abc: 3.9799 3.9799 8.5708
angles: 90.00 90.00 90.00
Fractional positions:
Ce 0.2500 0.7500 0.0000
Ce 0.7500 0.2500 0.0000
Zr 0.2500 0.2500 0.3815
Zr 0.7500 0.7500 0.6185
Al 0.2500 0.2500 0.7149
Al 0.7500 0.7500 0.2851

Output
Symmetry: P4/nmm (129)

---

#four
The following is a DFT calculation (PBE-GGA) of a relaxed structure of CeZrAl.

abc: 5.4071 5.4071 5.4071
angles: 138.21 138.21 60.58
Fractional positions:
Ce 0.0000 0.0000 0.0000
Zr 0.7064 0.7064 0.0000
Al 0.3347 0.3347 0.0000

Output
Symmetry: I4mm (107)

---

Which structure is most stable? #one, by 69 meV per atom over the runner-up.